Record 1
Material: Li2Tb2PrIn2
Method: DFT, PBE
State: optimized geometry

Values from the calculation:
* symmetry: No. 166
* energy relative to the elements: -1.7 eV per formula unit

Cell: 4.927 4.927 9.338 Å, 74.71 74.71 60.00°
Sites, in units of the cell vectors:
1 Li 0.597 0.597 0.209
2 Li 0.403 0.403 0.791
3 Tb 0.871 0.871 0.386
4 Tb 0.129 0.129 0.614
5 Pr 0.000 0.000 0.000
6 In 0.741 0.741 0.778
7 In 0.259 0.259 0.222



Record 2
Material: LiPrTlIn
Method: DFT, PBE
State: optimized geometry

Values from the calculation:
* symmetry: No. 216
* energy relative to the elements: -1.4 eV per formula unit

Cell: 5.291 5.291 5.291 Å, 60.00 60.00 60.00°
Sites, in units of the cell vectors:
1 Li 0.500 0.500 0.500
2 Tl 0.750 0.750 0.750
3 In 0.250 0.250 0.250
4 Pr 0.000 0.000 0.000



Record 3
Material: Li2Pr2TmIn2
Method: DFT, PBE
State: optimized geometry

Values from the calculation:
* symmetry: No. 166
* energy relative to the elements: -1.7 eV per formula unit

Cell: 4.880 4.880 9.432 Å, 75.01 75.01 60.00°
Sites, in units of the cell vectors:
1 In 0.268 0.268 0.197
2 In 0.732 0.732 0.803
3 Tm 0.000 0.000 0.000
4 Li 0.612 0.612 0.163
5 Li 0.388 0.388 0.837
6 Pr 0.873 0.873 0.381
7 Pr 0.127 0.127 0.619